(1)
The following is a GGA-PBE calculation of a geometry-optimized Y2Ga8Ir structure, from OQMD via LeMat-Bulk.

Values from the calculation:
**Total moment**: 0.01 μB/f.u.
**Electronic total energy**: -4.729 eV/atom
**V**: 209.0 Å³/f.u.
**Space group**: No. 123

Cell and atoms, written as POSCAR:
```
Y2Ga8Ir
1.0
4.322 0.000 0.000
0.000 4.322 0.000
0.000 0.000 11.189
Ga Ir Y
8 1 2
Direct
0.500 0.000 0.000
0.000 0.500 0.000
0.500 0.500 0.193
0.500 0.000 0.378
0.000 0.500 0.378
0.500 0.000 0.622
0.000 0.500 0.622
0.500 0.500 0.807
0.000 0.000 0.500
0.000 0.000 0.193
0.000 0.000 0.807
```



(2)
The following is a GGA-PBE calculation of a geometry-optimized YZnGa2Ir4 structure, from OQMD via LeMat-Bulk.

Values from the calculation:
**Total moment**: 0.01 μB/f.u.
**Electronic total energy**: -6.595 eV/atom
**V**: 124.1 Å³/f.u.
**Space group**: No. 123

Cell and atoms, written as POSCAR:
```
YZnGa2Ir4
1.0
4.403 0.000 0.000
0.000 4.403 0.000
0.000 0.000 6.402
Ga Ir Y Zn
2 4 1 1
Direct
0.500 0.500 0.000
0.000 0.000 0.500
0.500 0.000 0.227
0.000 0.500 0.227
0.500 0.000 0.773
0.000 0.500 0.773
0.500 0.500 0.500
0.000 0.000 0.000
```



Copy entry 1 word for word.
The following is a GGA-PBE calculation of a geometry-optimized Y2Ga8Ir structure, from OQMD via LeMat-Bulk.

Values from the calculation:
**Total moment**: 0.01 μB/f.u.
**Electronic total energy**: -4.729 eV/atom
**V**: 209.0 Å³/f.u.
**Space group**: No. 123

Cell and atoms, written as POSCAR:
```
Y2Ga8Ir
1.0
4.322 0.000 0.000
0.000 4.322 0.000
0.000 0.000 11.189
Ga Ir Y
8 1 2
Direct
0.500 0.000 0.000
0.000 0.500 0.000
0.500 0.500 0.193
0.500 0.000 0.378
0.000 0.500 0.378
0.500 0.000 0.622
0.000 0.500 0.622
0.500 0.500 0.807
0.000 0.000 0.500
0.000 0.000 0.193
0.000 0.000 0.807
```



> What is the electronic total energy in the second record?

-6.595 eV/atom



What did the second record say?
The following is a GGA-PBE calculation of a geometry-optimized YZnGa2Ir4 structure, from OQMD via LeMat-Bulk.

Values from the calculation:
**Total moment**: 0.01 μB/f.u.
**Electronic total energy**: -6.595 eV/atom
**V**: 124.1 Å³/f.u.
**Space group**: No. 123

Cell and atoms, written as POSCAR:
```
YZnGa2Ir4
1.0
4.403 0.000 0.000
0.000 4.403 0.000
0.000 0.000 6.402
Ga Ir Y Zn
2 4 1 1
Direct
0.500 0.500 0.000
0.000 0.000 0.500
0.500 0.000 0.227
0.000 0.500 0.227
0.500 0.000 0.773
0.000 0.500 0.773
0.500 0.500 0.500
0.000 0.000 0.000
```